(1)
Entry from the Alexandria database: a relaxed Y3InO6 crystal (PBE-GGA).

CIF file:
```
data_Y3InO6
_chemical_formula_sum 'Y18 In6 O36'
_cell_length_a 9.6082
_cell_length_b 9.6082
_cell_length_c 11.1927
_cell_angle_alpha 90.00
_cell_angle_beta 90.00
_cell_angle_gamma 120.00
_space_group_name_H-M_alt 'R -3'
_space_group_IT_number 148
_space_group_name_Hall '-R 3'
loop_
_atom_site_label
_atom_site_type_symbol
_atom_site_fract_x
_atom_site_fract_y
_atom_site_fract_z
Y1 Y 0.0406 0.2664 0.2071
In1 In 0.0000 0.0000 0.0000
In2 In 0.0000 0.0000 0.5000
O1 O 0.0268 0.2148 0.4030
O2 O 0.0281 0.1869 0.8742
```

=====

(2)
Entry from the Alexandria database: a relaxed CaPdSe crystal (PBE-GGA).

CIF file:
```
data_CaPdSe
_chemical_formula_sum 'Ca2 Pd2 Se2'
_cell_length_a 4.8114
_cell_length_b 5.9370
_cell_length_c 4.8118
_cell_angle_alpha 90.00
_cell_angle_beta 106.55
_cell_angle_gamma 90.00
_space_group_name_H-M_alt 'P 1 21/m 1'
_space_group_IT_number 11
_space_group_name_Hall '-P 2yb'
loop_
_atom_site_label
_atom_site_type_symbol
_atom_site_fract_x
_atom_site_fract_y
_atom_site_fract_z
Ca1 Ca 0.1606 0.2500 0.3380
Pd1 Pd 0.5000 0.0000 0.0000
Se1 Se 0.2367 0.7500 0.2645
```

=====

(3)
Entry from the Alexandria database: a relaxed AlSiSe crystal (PBE-GGA).

CIF file:
```
data_AlSiSe
_chemical_formula_sum 'Al4 Si4 Se4'
_cell_length_a 3.9049
_cell_length_b 4.6381
_cell_length_c 12.9728
_cell_angle_alpha 90.00
_cell_angle_beta 90.00
_cell_angle_gamma 90.00
_space_group_name_H-M_alt 'F m m 2'
_space_group_IT_number 42
_space_group_name_Hall 'F 2 -2'
loop_
_atom_site_label
_atom_site_type_symbol
_atom_site_fract_x
_atom_site_fract_y
_atom_site_fract_z
Al1 Al 0.0000 0.0000 0.0000
Si1 Si 0.0000 0.0000 0.3599
Se1 Se 0.0000 0.0000 0.6311
```

=====

Number 1: total DFT energy (no corrections) -494.27 eV/cell. Number 2: total DFT energy (no corrections) -28.22 eV/cell. Number 3: total DFT energy (no corrections) -46.76 eV/cell.